# ErThRu

ErThRu after structural relaxation (GGA-PBE, the Alexandria database).

Cell lengths 6.028, 4.058, 13.157 Å; angles 90.00, 90.00, 90.00 degrees
Sites, in units of the cell vectors:
1 Er 0.128 0.250 0.095
2 Er 0.372 0.750 0.595
3 Er 0.628 0.250 0.405
4 Er 0.872 0.750 0.905
5 Th 0.124 0.750 0.343
6 Th 0.376 0.250 0.843
7 Th 0.624 0.750 0.157
8 Th 0.876 0.250 0.657
9 Ru 0.165 0.250 0.473
10 Ru 0.335 0.750 0.973
11 Ru 0.665 0.250 0.027
12 Ru 0.835 0.750 0.527

## Properties
volume = 321.8 Å³ per cell
ΔH_f (0 K) = -0.325 eV/atom
symmetry = Pnma, No. 62



# HfTc3O

HfTc3O after structural relaxation (GGA-PBE, the Alexandria database).

Cell lengths 4.928, 4.928, 4.928 Å; angles 90.00, 90.00, 90.00 degrees
Sites, in units of the cell vectors:
1 Hf 0.000 0.000 0.000
2 Tc 0.000 0.000 0.500
3 Tc 0.000 0.500 0.000
4 Tc 0.500 0.000 0.000
5 O 0.500 0.500 0.500

## Properties
volume = 119.6 Å³ per cell
E_tot = -6.68 eV/atom
symmetry = Pm-3m, No. 221



# LiTaC2

LiTaC2 after structural relaxation (GGA-PBE, the Alexandria database).

Cell lengths 5.589, 5.589, 5.304 Å; angles 90.00, 90.00, 90.00 degrees
Sites, in units of the cell vectors:
1 Li 0.000 0.000 0.000
2 Li 0.000 0.500 0.250
3 Li 0.500 0.000 0.750
4 Li 0.500 0.500 0.500
5 Ta 0.000 0.000 0.500
6 Ta 0.000 0.500 0.750
7 Ta 0.500 0.000 0.250
8 Ta 0.500 0.500 0.000
9 C 0.239 0.250 0.125
10 C 0.250 0.739 0.375
11 C 0.250 0.761 0.875
12 C 0.261 0.250 0.625
13 C 0.739 0.750 0.625
14 C 0.750 0.239 0.875
15 C 0.750 0.261 0.375
16 C 0.761 0.750 0.125

## Properties
volume = 165.7 Å³ per cell
ΔH_f (0 K) = 0.741 eV/atom
symmetry = I-42d, No. 122



# DyAlSn2

DyAlSn2 after structural relaxation (GGA-PBE, the Alexandria database).

Cell lengths 4.375, 4.375, 19.486 Å; angles 90.00, 90.00, 120.00 degrees
Sites, in units of the cell vectors:
1 Dy 0.000 0.000 0.000
2 Dy 0.333 0.667 0.667
3 Dy 0.667 0.333 0.333
4 Al 0.000 0.000 0.830
5 Al 0.333 0.667 0.497
6 Al 0.667 0.333 0.163
7 Sn 0.000 0.000 0.425
8 Sn 0.000 0.000 0.576
9 Sn 0.333 0.667 0.092
10 Sn 0.333 0.667 0.242
11 Sn 0.667 0.333 0.758
12 Sn 0.667 0.333 0.909

## Properties
volume = 323.1 Å³ per cell
ΔH_f (0 K) = -0.192 eV/atom
symmetry = R3m, No. 160



# CaAcTm2In4

CaAcTm2In4 after structural relaxation (GGA-PBE, the Alexandria database).

Cell lengths 9.535, 9.535, 9.535 Å; angles 33.13, 33.13, 33.13 degrees
Sites, in units of the cell vectors:
1 Ca 0.000 0.000 0.000
2 Ac 0.500 0.500 0.500
3 Tm 0.252 0.252 0.252
4 Tm 0.748 0.748 0.748
5 In 0.121 0.121 0.121
6 In 0.372 0.372 0.372
7 In 0.628 0.628 0.628
8 In 0.879 0.879 0.879

## Properties
volume = 230.5 Å³ per cell
ΔH_f (0 K) = -0.400 eV/atom
symmetry = R-3m, No. 166



# AsRuSeBr2

AsRuSeBr2 after structural relaxation (GGA-PBE, the Alexandria database).

Cell lengths 5.220, 5.220, 5.165 Å; angles 90.00, 90.00, 90.00 degrees
Sites, in units of the cell vectors:
1 As 0.000 0.000 0.000
2 Ru 0.500 0.500 0.500
3 Se 0.000 0.000 0.500
4 Br 0.000 0.500 0.000
5 Br 0.500 0.000 0.000

## Properties
volume = 140.8 Å³ per cell
E_tot = -3.22 eV/atom
symmetry = P4/mmm, No. 123



# La3DyN4

La3DyN4 after structural relaxation (GGA-PBE, the Alexandria database).

Cell lengths 5.217, 5.217, 5.217 Å; angles 90.00, 90.00, 90.00 degrees
Sites, in units of the cell vectors:
1 La 0.000 0.000 0.500
2 La 0.000 0.500 0.000
3 La 0.500 0.000 0.000
4 Dy 0.500 0.500 0.500
5 N 0.000 0.000 0.000
6 N 0.000 0.500 0.500
7 N 0.500 0.000 0.500
8 N 0.500 0.500 0.000

## Properties
volume = 142.0 Å³ per cell
E_tot = -7.94 eV/atom
symmetry = Pm-3m, No. 221



# Tb3Nd2Tm

Tb3Nd2Tm after structural relaxation (GGA-PBE, the Alexandria database).

Cell lengths 6.704, 17.641, 3.380 Å; angles 90.00, 90.00, 90.00 degrees
Sites, in units of the cell vectors:
1 Tb 0.000 0.000 0.000
2 Tb 0.246 0.324 0.000
3 Tb 0.254 0.824 0.500
4 Tb 0.500 0.500 0.500
5 Tb 0.746 0.176 0.500
6 Tb 0.754 0.676 0.000
7 Nd 0.240 0.152 0.500
8 Nd 0.260 0.652 0.000
9 Nd 0.740 0.348 0.000
10 Nd 0.760 0.848 0.500
11 Tm 0.000 0.500 0.000
12 Tm 0.500 0.000 0.500

## Properties
volume = 399.8 Å³ per cell
ΔH_f (0 K) = 0.260 eV/atom
symmetry = Pnnm, No. 58



# LiAc2AuO6

LiAc2AuO6 after structural relaxation (GGA-PBE, the Alexandria database).

Cell lengths 5.689, 5.689, 4.102 Å; angles 90.00, 90.00, 90.00 degrees
Sites, in units of the cell vectors:
1 Li 0.000 0.000 0.000
2 Ac 0.000 0.500 0.500
3 Ac 0.500 0.000 0.500
4 Au 0.500 0.500 0.000
5 O 0.000 0.000 0.500
6 O 0.251 0.251 0.000
7 O 0.251 0.749 0.000
8 O 0.500 0.500 0.500
9 O 0.749 0.251 0.000
10 O 0.749 0.749 0.000

## Properties
volume = 132.8 Å³ per cell
E_tot = -6.21 eV/atom
symmetry = P4/mmm, No. 123



# Pm2Nd5Ho12

Pm2Nd5Ho12 after structural relaxation (GGA-PBE, the Alexandria database).

Cell lengths 6.195, 9.486, 10.724 Å; angles 101.05, 95.57, 90.06 degrees
Sites, in units of the cell vectors:
1 Pm 0.080 0.317 0.474
2 Pm 0.920 0.683 0.526
3 Nd 0.238 0.947 0.421
4 Nd 0.341 0.368 0.053
5 Nd 0.500 0.000 0.000
6 Nd 0.659 0.632 0.947
7 Nd 0.762 0.053 0.579
8 Ho 0.026 0.105 0.157
9 Ho 0.131 0.526 0.790
10 Ho 0.183 0.737 0.105
11 Ho 0.289 0.159 0.738
12 Ho 0.396 0.579 0.368
13 Ho 0.446 0.788 0.684
14 Ho 0.554 0.212 0.316
15 Ho 0.604 0.421 0.632
16 Ho 0.711 0.841 0.262
17 Ho 0.817 0.263 0.895
18 Ho 0.869 0.474 0.210
19 Ho 0.974 0.895 0.843

## Properties
volume = 615.4 Å³ per cell
ΔH_f (0 K) = 0.019 eV/atom
symmetry = P-1, No. 2



# La7Pt2Au2

La7Pt2Au2 after structural relaxation (GGA-PBE, the Alexandria database).

Cell lengths 7.044, 7.044, 7.310 Å; angles 90.00, 90.00, 109.10 degrees
Sites, in units of the cell vectors:
1 La 0.000 0.000 0.000
2 La 0.000 0.500 0.272
3 La 0.000 0.500 0.728
4 La 0.500 0.000 0.272
5 La 0.500 0.000 0.728
6 La 0.500 0.500 0.260
7 La 0.500 0.500 0.740
8 Pt 0.289 0.711 0.000
9 Pt 0.711 0.289 0.000
10 Au 0.175 0.175 0.500
11 Au 0.825 0.825 0.500

## Properties
volume = 342.8 Å³ per cell
ΔH_f (0 K) = -0.595 eV/atom
symmetry = Cmmm, No. 65



# KIrOs2

KIrOs2 after structural relaxation (GGA-PBE, the Alexandria database).

Cell lengths 2.747, 4.529, 6.872 Å; angles 90.00, 99.50, 90.00 degrees
Sites, in units of the cell vectors:
1 K 0.000 0.000 0.000
2 Ir 0.500 0.000 0.500
3 Os 0.287 0.500 0.654
4 Os 0.713 0.500 0.346

## Properties
volume = 84.3 Å³ per cell
ΔH_f (0 K) = 1.204 eV/atom
symmetry = P2/m, No. 10